Record 1
First-principles (PBE-GGA) data for crystalline LiPrAgPd at its relaxed geometry, as listed in Alexandria via LeMat-Bulk.

Cell lengths 7.0403, 7.0403, 7.0403 Å; angles 90.00, 90.00, 90.00 degrees
Space group F-43m (No. 216)
Unique sites:
Li1 0.0000 0.0000 0.0000 x4
Pr1 0.0000 0.0000 0.5000 x4
Ag1 0.2500 0.2500 0.7500 x4
Pd1 0.2500 0.2500 0.2500 x4

The value obtained for the calculated total energy is -4.03 eV per atom. For the energy above the lowest structure with this stoichiometry, the calculation gives 1.884 kcal/mol of atoms. The calculation puts the formation energy from the elements at -0.3470 eV/atom. The size of the total moment comes out at 0.000 Bohr magnetons per cell.


Record 2
First-principles (PBE-GGA) data for crystalline Sm2HoTm2 at its relaxed geometry, as listed in Alexandria via LeMat-Bulk.

Cell lengths 3.6179, 5.6493, 31.3993 Å; angles 90.00, 90.00, 90.00 degrees
Space group Imma (No. 74)
Unique sites:
Sm1 0.0000 0.2500 0.0229 x4
Sm2 0.0000 0.2500 0.1225 x4
Ho1 0.0000 0.2500 0.5811 x4
Tm1 0.0000 0.2500 0.2906 x4
Tm2 0.0000 0.2500 0.8030 x4

The value obtained for the calculated total energy is -4.46 eV per atom. For the energy above the lowest structure with this stoichiometry, the calculation gives 2.919 kcal/mol of atoms. The calculation puts the formation energy from the elements at 0.1347 eV/atom. The size of the total moment comes out at 0.000 Bohr magnetons per cell.


Record 3
First-principles (PBE-GGA) data for crystalline Na6UF12 at its relaxed geometry, as listed in Alexandria via LeMat-Bulk.

Cell lengths 10.2315, 10.2315, 9.9525 Å; angles 90.00, 90.00, 120.00 degrees
Space group R-3 (No. 148, hexagonal axes)
Unique sites:
Na1 0.9998 0.2223 0.1158 x18
U1 0.0000 0.0000 0.5000 x3
F1 0.0016 0.7823 0.1132 x18
F2 0.0116 0.1672 0.3802 x18

The value obtained for the calculated total energy is -5.06 eV per atom. The size of the total moment comes out at 2.607 Bohr magnetons per cell.


Record 4
First-principles (PBE-GGA) data for crystalline Ho2CdPb3 at its relaxed geometry, as listed in Alexandria via LeMat-Bulk.

Cell lengths 14.4124, 10.1864, 5.1346 Å; angles 90.00, 90.00, 90.00 degrees
Space group Cmcm (No. 63)
Unique sites:
Ho1 0.1217 0.1210 0.2500 x8
Cd1 0.0000 0.1749 0.7500 x4
Pb1 0.0000 0.3958 0.2500 x4
Pb2 0.2373 0.3772 0.2500 x8

The value obtained for the calculated total energy is -3.67 eV per atom. For the energy above the lowest structure with this stoichiometry, the calculation gives 5.345 kcal/mol of atoms. The calculation puts the formation energy from the elements at -0.1352 eV/atom. The size of the total moment comes out at 0.000 Bohr magnetons per cell.


Record 5
First-principles (PBE-GGA) data for crystalline Al2TlCrGa at its relaxed geometry, as listed in Alexandria via LeMat-Bulk.

Cell lengths 4.8464, 4.8464, 4.8142 Å; angles 90.00, 90.00, 90.00 degrees
Space group P4/mmm (No. 123)
Unique sites:
Al1 0.0000 0.5000 0.0000 x2
Tl1 0.0000 0.0000 0.5000 x1
Cr1 0.5000 0.5000 0.0000 x1
Ga1 0.5000 0.5000 0.5000 x1

The value obtained for the calculated total energy is -4.11 eV per atom. The calculation puts the formation energy from the elements at 0.3876 eV/atom. The size of the total moment comes out at 1.709 Bohr magnetons per cell.


Record 6
First-principles (PBE-GGA) data for crystalline ZnCrCo at its relaxed geometry, as listed in Alexandria via LeMat-Bulk.

Cell lengths 2.9137, 4.0089, 12.3915 Å; angles 90.00, 90.00, 90.00 degrees
Space group Fmm2 (No. 42)
Unique sites:
Zn1 0.0000 0.0000 0.0000 x4
Cr1 0.0000 0.0000 0.3234 x4
Co1 0.0000 0.0000 0.6695 x4

The value obtained for the calculated total energy is -5.84 eV per atom. For the energy above the lowest structure with this stoichiometry, the calculation gives 1.929 kcal/mol of atoms. The calculation puts the formation energy from the elements at 0.1634 eV/atom. The size of the total moment comes out at 5.666 Bohr magnetons per cell.


Record 7
First-principles (PBE-GGA) data for crystalline HfVHg2 at its relaxed geometry, as listed in Alexandria via LeMat-Bulk.

Cell lengths 6.8335, 6.8335, 6.8335 Å; angles 90.00, 90.00, 90.00 degrees
Space group Fm-3m (No. 225)
Unique sites:
Hf1 0.0000 0.0000 0.0000 x4
V1 0.0000 0.0000 0.5000 x4
Hg1 0.2500 0.2500 0.2500 x8

The value obtained for the calculated total energy is -4.70 eV per atom. For the energy above the lowest structure with this stoichiometry, the calculation gives 0.000 kcal/mol of atoms. The calculation puts the formation energy from the elements at 0.2150 eV/atom. The size of the total moment comes out at 13.541 Bohr magnetons per cell.


Record 8
First-principles (PBE-GGA) data for crystalline TmPaGe at its relaxed geometry, as listed in Alexandria via LeMat-Bulk.

Cell lengths 4.1286, 4.1286, 8.3634 Å; angles 90.00, 90.00, 90.00 degrees
Space group P4/nmm (No. 129, origin choice 2)
Unique sites:
Tm1 0.2500 0.2500 0.1375 x2
Pa1 0.2500 0.7500 0.5000 x2
Ge1 0.2500 0.2500 0.7783 x2

The value obtained for the calculated total energy is -6.72 eV per atom. For the energy above the lowest structure with this stoichiometry, the calculation gives 0.000 kcal/mol of atoms. The calculation puts the formation energy from the elements at -0.5229 eV/atom. The size of the total moment comes out at 0.001 Bohr magnetons per cell.


Record 9
First-principles (PBE-GGA) data for crystalline SiAs2Br at its relaxed geometry, as listed in Alexandria via LeMat-Bulk.

Cell lengths 6.7794, 6.7794, 6.7794 Å; angles 90.00, 90.00, 90.00 degrees
Space group Fm-3m (No. 225)
Unique sites:
Si1 0.0000 0.0000 0.0000 x4
As1 0.2500 0.2500 0.2500 x8
Br1 0.0000 0.0000 0.5000 x4

The value obtained for the calculated total energy is -3.47 eV per atom. For the energy above the lowest structure with this stoichiometry, the calculation gives 13.160 kcal/mol of atoms. The size of the total moment comes out at 0.000 Bohr magnetons per cell.


Record 10
First-principles (PBE-GGA) data for crystalline Ca4TlHg at its relaxed geometry, as listed in Alexandria via LeMat-Bulk.

Cell lengths 7.5426, 7.8793, 7.4974 Å; angles 90.00, 93.45, 90.00 degrees
Space group P2_1/c (No. 14)
Unique sites:
Ca1 0.1507 0.1591 0.3645 x4
Ca2 0.3446 0.6603 0.3384 x4
Tl1 0.0000 0.0000 0.0000 x2
Hg1 0.5000 0.0000 0.5000 x2

The value obtained for the calculated total energy is -2.01 eV per atom. For the energy above the lowest structure with this stoichiometry, the calculation gives 2.782 kcal/mol of atoms. The calculation puts the formation energy from the elements at -0.2291 eV/atom. The size of the total moment comes out at 0.000 Bohr magnetons per cell.


Record 11
First-principles (PBE-GGA) data for crystalline AsIrPt2 at its relaxed geometry, as listed in Alexandria via LeMat-Bulk.

Cell lengths 2.8993, 2.8993, 7.4603 Å; angles 90.00, 90.00, 90.00 degrees
Space group P4mm (No. 99)
Unique sites:
As1 0.0000 0.0000 0.0000 x1
Ir1 0.5000 0.5000 0.2165 x1
Pt1 0.0000 0.0000 0.4779 x1
Pt2 0.5000 0.5000 0.7443 x1

The value obtained for the calculated total energy is -6.32 eV per atom. The calculation puts the formation energy from the elements at 0.0829 eV/atom. The size of the total moment comes out at 0.000 Bohr magnetons per cell.


Record 12
First-principles (PBE-GGA) data for crystalline LaTl2Cl at its relaxed geometry, as listed in Alexandria via LeMat-Bulk.

Cell lengths 3.7883, 6.3842, 10.1026 Å; angles 90.00, 90.00, 90.00 degrees
Space group Cmmm (No. 65)
Unique sites:
La1 0.0000 0.0000 0.0000 x2
Tl1 0.0000 0.5000 0.2732 x4
Cl1 0.0000 0.0000 0.5000 x2

The value obtained for the calculated total energy is -3.20 eV per atom. For the energy above the lowest structure with this stoichiometry, the calculation gives 11.070 kcal/mol of atoms. The size of the total moment comes out at 0.001 Bohr magnetons per cell.